ErTa2C: relaxed, GGA-PBE.

abc: 3.134 3.134 8.757
angles: 79.69 79.69 60.00
Fractional positions:
Er 0.000 0.000 0.000
C 0.500 0.500 0.500
Ta 0.881 0.881 0.358
Ta 0.119 0.119 0.642

* total magnetic moment: 0.00 μB/cell
* VASP energy: -9.36 eV per atom
* DFT formation energy: 1.0 kJ/mol of atoms